# Be2FeRe (PBE-GGA, relaxed)
# - DFT formation energy: 0.36 eV/atom
# - Energy relative to the lowest polymorph listed for this composition: 481 meV per atom
# - DFT total energy: -6.731 eV per atom
# - Volume: 10.94 Å³/atom
# - DOS at the Fermi energy: 10.3 states/eV/cell
data_Be2FeRe
_cell_length_a 5.970
_cell_length_b 5.970
_cell_length_c 4.912
_cell_angle_alpha 90.00
_cell_angle_beta 90.00
_cell_angle_gamma 90.00
_space_group_name_H-M_alt 'I -4 2 d'
_space_group_IT_number 122
_space_group_name_Hall 'I -4 2bw'
loop_
_atom_site_label
_atom_site_type_symbol
_atom_site_fract_x
_atom_site_fract_y
_atom_site_fract_z
Be1 Be 0.230 0.750 0.125
Fe1 Fe 0.000 0.000 0.000
Re1 Re 0.000 0.000 0.500